Tb3Sm12Tm | PBE | relaxed

Geometry as POSCAR:
```
Tb3Sm12Tm
1.0
5.1019 0.0000 0.0000
0.0000 5.1019 0.0000
0.0000 0.0000 20.3599
Tb Sm Tm
3 12 1
Cartesian
0.0000 0.0000 0.0000
0.0000 0.0000 5.1059
0.0000 0.0000 15.2540
0.0000 2.5509 2.5526
0.0000 2.5509 7.6550
0.0000 2.5509 12.7049
0.0000 2.5509 17.8073
2.5509 0.0000 2.5526
2.5509 0.0000 7.6550
2.5509 0.0000 12.7049
2.5509 0.0000 17.8073
2.5509 2.5509 0.0000
2.5509 2.5509 5.1084
2.5509 2.5509 10.1799
2.5509 2.5509 15.2514
0.0000 0.0000 10.1799
```

Calculated values
Total moment, μB/atom: 0.00
Final energy, eV per atom: -4.6710
DFT formation energy, meV per atom: 16

***

TbSmTm | PBE | relaxed

Geometry as POSCAR:
```
TbSmTm
1.0
3.5604 0.0000 0.0000
-1.7802 3.0834 0.0000
0.0000 0.0000 8.6926
Tb Sm Tm
1 1 1
Cartesian
0.0000 0.0000 0.0000
0.0000 2.0556 5.7384
1.7802 1.0278 2.8461
```

Calculated values
Total moment, μB/atom: 0.00
Energy above the most stable polymorph in this dataset, meV per atom: 26.7
Final energy, eV per atom: -4.5852
DFT formation energy, meV per atom: 22

***

TbSm5Tm | PBE | relaxed

Geometry as POSCAR:
```
TbSm5Tm
1.0
-3.3394 3.3694 5.1725
3.3394 -3.3694 5.1725
3.3394 3.3694 -5.1725
Tb Sm Tm
1 5 1
Cartesian
0.0000 0.0000 0.0000
1.8359 3.3694 -1.6241
1.5036 0.0000 3.5484
3.3394 1.8772 1.5963
0.0000 1.4922 6.7688
0.0000 3.3694 4.1397
0.0000 3.3694 1.0355
```

Calculated values
Total moment, μB/atom: 0.00
Energy above the most stable polymorph in this dataset, meV per atom: 51.1
Final energy, eV per atom: -4.4340
DFT formation energy, meV per atom: 237